Material: CeCrGe
Method: DFT, PBE-GGA
State: relaxed

Size of the total moment ... 4.7 Bohr magnetons per cell
Formation enthalpy at 0 K ... -288.3 meV per atom

Lattice parameters (Å, degrees): 4.1639 4.1639 14.0477 90.00 90.00 90.00
Space group I4/mmm (No. 139)
Symmetry-distinct sites (fractional):
Ce: 0.0000 0.0000 0.1560
Cr: 0.0000 0.5000 0.0000
Ge: 0.0000 0.0000 0.3887